Compound: CaUBi2
Source: Alexandria
Functional: PBE-GGA
Structure: optimized geometry

```
CaUBi2
1.0
3.7898 0.0000 0.0000
0.0000 3.7898 0.0000
0.0000 0.0000 8.2967
U Ca Bi
1 1 2
Direct
0.5000 0.5000 0.0000 U
0.5000 0.5000 0.5000 Ca
0.0000 0.0000 0.7562 Bi
0.0000 0.0000 0.2438 Bi
```

## Properties
As for the formation energy: -252 meV per atom. Its volume is 119.16 Å³/f.u. As for the total energy: -22.1 eV for the cell shown. As for the energy relative to the lowest polymorph listed for this composition: 55 meV/atom.


Compound: CaUBi2
Source: Alexandria
Functional: PBE-GGA
Structure: optimized geometry

```
CaUBi2
1.0
3.4122 0.0000 0.0000
0.0000 5.8932 0.0000
0.0000 0.0000 5.8932
Bi Ca U
2 1 1
Direct
0.0000 0.5000 0.0000 Bi
0.0000 0.0000 0.5000 Bi
0.5000 0.5000 0.5000 Ca
0.5000 0.0000 0.0000 U
```

## Properties
As for the formation energy: -225 meV per atom. Its volume is 118.50 Å³/f.u. As for the total energy: -22.0 eV for the cell shown. As for the energy relative to the lowest polymorph listed for this composition: 82 meV/atom.


Compound: Ca2VBi2
Source: Alexandria
Functional: PBE-GGA
Structure: optimized geometry

```
Ca2VBi2
1.0
-3.6293 -4.6067 -5.2305
4.3825 -6.0938 2.3261
-3.2345 -1.0998 3.2130
Ca Bi V
4 4 2
Direct
0.6576 0.8424 0.5000 Ca
0.8424 0.3424 0.5000 Ca
0.1576 0.6576 0.5000 Ca
0.3424 0.1576 0.5000 Ca
0.8453 0.6547 0.0000 Bi
0.6547 0.1547 0.0000 Bi
0.3453 0.8453 0.0000 Bi
0.1547 0.3453 0.0000 Bi
0.5000 0.5000 0.0000 V
0.0000 0.0000 0.0000 V
```

## Properties
As for the formation energy: -271 meV per atom. Its volume is 144.80 Å³/f.u. As for the total energy: -44.5 eV for the cell shown. As for the energy relative to the lowest polymorph listed for this composition: 0 meV/atom.


Compound: CaV3Bi
Source: Alexandria
Functional: PBE-GGA
Structure: optimized geometry

```
CaV3Bi
1.0
4.6033 0.0000 0.0000
0.0000 4.6033 0.0000
0.0000 0.0000 4.6033
Ca Bi V
1 1 3
Direct
0.0000 0.0000 0.0000 Ca
0.5000 0.5000 0.5000 Bi
0.0000 0.0000 0.5000 V
0.5000 0.0000 0.0000 V
0.0000 0.5000 0.0000 V
```

## Properties
As for the formation energy: 1999 meV per atom. Its volume is 97.55 Å³/f.u. As for the total energy: -23.2 eV for the cell shown. As for the energy relative to the lowest polymorph listed for this composition: 737 meV/atom.


Compound: Ca2VBi
Source: Alexandria
Functional: PBE-GGA
Structure: optimized geometry

```
Ca2VBi
1.0
-5.2301 -4.3045 -5.2553
6.0235 0.1279 -6.0993
1.6202 -4.9760 -4.5296
Bi V Ca
2 2 4
Direct
0.0000 0.0000 0.0000 Bi
0.7500 0.2500 0.5000 Bi
0.5000 0.5000 0.0000 V
0.2500 0.7500 0.5000 V
0.3750 0.3809 0.7500 Ca
0.8750 0.8691 0.7500 Ca
0.6191 0.1250 0.2500 Ca
0.1309 0.6250 0.2500 Ca
```

## Properties
As for the formation energy: 355 meV per atom. Its volume is 122.73 Å³/f.u. As for the total energy: -31.2 eV for the cell shown.


Compound: CaV3Bi
Source: Alexandria
Functional: PBE-GGA
Structure: optimized geometry

```
CaV3Bi
1.0
5.2850 0.0000 0.0000
0.0000 5.2850 0.0000
0.0000 0.0000 5.2850
V Ca Bi
3 1 1
Direct
0.0000 0.5000 0.0000 V
0.5000 0.0000 0.0000 V
0.0000 0.0000 0.5000 V
0.5000 0.5000 0.5000 Ca
0.0000 0.0000 0.0000 Bi
```

## Properties
As for the formation energy: 1262 meV per atom. Its volume is 147.61 Å³/f.u. As for the total energy: -26.9 eV for the cell shown. As for the energy relative to the lowest polymorph listed for this composition: 0 meV/atom.


Compound: Ca2VBi2
Source: Alexandria
Functional: PBE-GGA
Structure: optimized geometry

```
Ca2VBi2
1.0
-0.8783 2.8182 3.8661
2.0098 -3.3498 2.8983
6.9123 2.8343 2.5642
V Bi Ca
1 2 2
Direct
0.0000 0.0000 0.0000 V
0.6068 0.6068 0.7864 Bi
0.3932 0.3932 0.2136 Bi
0.7500 0.2500 0.5000 Ca
0.2500 0.7500 0.5000 Ca
```

## Properties
As for the formation energy: 329 meV per atom. Its volume is 168.24 Å³/f.u. As for the total energy: -19.2 eV for the cell shown. As for the energy relative to the lowest polymorph listed for this composition: 600 meV/atom.


Compound: CaVBi2W
Source: Alexandria
Functional: PBE-GGA
Structure: optimized geometry

```
CaVBi2W
1.0
-1.3089 4.0546 3.2967
-4.3981 -1.2777 -0.1747
0.7645 -3.2134 4.2557
V Ca Bi W
1 1 2 1
Direct
0.0000 0.0000 0.0000 V
0.5000 0.5000 0.5000 Ca
0.0000 0.0000 0.5000 Bi
0.5000 0.0000 0.0000 Bi
0.0000 0.5000 0.0000 W
```

## Properties
As for the formation energy: 734 meV per atom. Its volume is 133.01 Å³/f.u. As for the total energy: -28.2 eV for the cell shown.


Repeat the first record exactly.
Compound: CaUBi2
Source: Alexandria
Functional: PBE-GGA
Structure: optimized geometry

```
CaUBi2
1.0
3.7898 0.0000 0.0000
0.0000 3.7898 0.0000
0.0000 0.0000 8.2967
U Ca Bi
1 1 2
Direct
0.5000 0.5000 0.0000 U
0.5000 0.5000 0.5000 Ca
0.0000 0.0000 0.7562 Bi
0.0000 0.0000 0.2438 Bi
```

## Properties
As for the formation energy: -252 meV per atom. Its volume is 119.16 Å³/f.u. As for the total energy: -22.1 eV for the cell shown. As for the energy relative to the lowest polymorph listed for this composition: 55 meV/atom.


Repeat the seventh record exactly.
Compound: Ca2VBi2
Source: Alexandria
Functional: PBE-GGA
Structure: optimized geometry

```
Ca2VBi2
1.0
-0.8783 2.8182 3.8661
2.0098 -3.3498 2.8983
6.9123 2.8343 2.5642
V Bi Ca
1 2 2
Direct
0.0000 0.0000 0.0000 V
0.6068 0.6068 0.7864 Bi
0.3932 0.3932 0.2136 Bi
0.7500 0.2500 0.5000 Ca
0.2500 0.7500 0.5000 Ca
```

## Properties
As for the formation energy: 329 meV per atom. Its volume is 168.24 Å³/f.u. As for the total energy: -19.2 eV for the cell shown. As for the energy relative to the lowest polymorph listed for this composition: 600 meV/atom.


Question: Which of these has the lowest total energy?
Answer: number 3


Question: What is the formula in the sixth record?
Answer: CaV3Bi